(1)
20
Lattice="4.0598 0.0000 0.0000 0.0000 7.5314 0.0000 0.0000 0.0000 15.6263" Properties=species:S:1:pos:R:3 comment="CePrS3 PBE-GGA relaxed" raw_formation_energy_ev_per_atom=-2.038 space_group="No. 62" de_polymorph_ev_per_atom=0.000 pbc="T T T"
S 1.0150 1.1343 12.2202
S 1.0150 4.9000 11.2192
S 1.0150 6.5748 14.5863
S 1.0150 2.8091 8.8532
Pr 1.0150 1.0152 3.2107
Ce 3.0449 5.5586 0.6673
S 3.0449 4.7223 6.7731
Pr 3.0449 2.7505 11.0238
Pr 3.0449 6.5162 12.4156
S 3.0449 7.4495 9.4699
S 1.0150 0.0819 6.1564
Ce 3.0449 1.7929 7.1459
S 3.0449 6.3971 3.4061
S 1.0150 3.8477 1.6567
S 3.0449 0.9566 1.0400
Ce 1.0150 1.9728 14.9590
S 3.0449 3.6838 13.9695
S 3.0449 2.6314 4.4071
Pr 1.0150 4.7809 4.6025
Ce 1.0150 5.7385 8.4804

---

(2)
4
Lattice="4.1106 0.0000 0.0000 2.0553 3.5599 0.0000 2.0553 1.1866 3.3563" Properties=species:S:1:pos:R:3 comment="LiVFeRu PBE-GGA relaxed" space_group="No. 216" final_energy_ev_per_atom=-7.165 pbc="T T T"
Fe 2.0553 1.1866 0.8391
Ru 6.1659 3.5599 2.5172
V 4.1106 2.3732 1.6781
Li 0.0000 0.0000 0.0000

---

(3)
8
Lattice="4.0447 0.0000 0.0000 0.0000 6.9080 -0.0985 0.0000 2.4679 6.5536" Properties=species:S:1:pos:R:3 comment="DyTh2ScP4 PBE-GGA relaxed" space_group="No. 10" final_energy_ev_per_atom=-7.455 pbc="T T T"
Dy 0.0000 4.6879 3.2276
Sc 2.0224 5.9219 6.5044
P 4.0447 2.4341 1.5359
Th 2.0224 1.2339 3.2768
P 2.0224 5.7060 1.5568
P 0.0001 6.9418 4.9192
P 2.0224 3.6699 4.8983
Th 0.0000 2.4679 6.5536

---

(4)
3
Lattice="-1.6638 1.8051 1.6986 -0.5982 -2.9230 -0.1031 4.1844 -1.0399 5.2037" Properties=species:S:1:pos:R:3 comment="SbMoOs PBE-GGA relaxed" raw_formation_energy_ev_per_atom=0.407 space_group="No. 156" de_polymorph_ev_per_atom=0.259 pbc="T T T"
Mo 0.0779 -0.0194 0.0969
Os 0.0151 -0.0999 2.7443
Sb 1.8293 -2.0385 3.9581

---

Please write out number 3 again, unchanged.
8
Lattice="4.0447 0.0000 0.0000 0.0000 6.9080 -0.0985 0.0000 2.4679 6.5536" Properties=species:S:1:pos:R:3 comment="DyTh2ScP4 PBE-GGA relaxed" space_group="No. 10" final_energy_ev_per_atom=-7.455 pbc="T T T"
Dy 0.0000 4.6879 3.2276
Sc 2.0224 5.9219 6.5044
P 4.0447 2.4341 1.5359
Th 2.0224 1.2339 3.2768
P 2.0224 5.7060 1.5568
P 0.0001 6.9418 4.9192
P 2.0224 3.6699 4.8983
Th 0.0000 2.4679 6.5536